(1)
Here is a relaxed structure of ReSiTc from Alexandria via LeMat-Bulk. Energies are from PBE.

Unit cell a=4.7133 b=4.7133 c=4.6121 alpha=104.18 beta=104.18 gamma=60.32
Closest atoms and distances in Å follow each position.
Fractional coordinates of all 6 atoms:
Re  0.0000  0.0000  0.0000  2 Re 2.57, 6 Tc 2.68-2.79, 2 Si 2.77
Re  0.7594  0.2406  0.5000  2 Re 2.57, 6 Si 2.63-2.80
Si  0.1127  0.5623  0.4657  3 Tc 2.38-2.61, 1 Si 2.58, 1 Re 2.63
Si  0.4377  0.8873  0.5343  3 Tc 2.38-2.61, 1 Si 2.58, 1 Re 2.63
Tc  0.3120  0.3383  0.9372  3 Si 2.38-2.61
Tc  0.6617  0.6880  0.0628  3 Si 2.38-2.61

## Properties
Its density of states at the Fermi level is 0.452 states/eV/atom. For the magnetic moment, the calculation gives 0.0 μB per formula unit. Its energy is -0.3521 Ha/atom. The value obtained for the energy above the most stable polymorph in this dataset is 148 meV/atom. The space group is C2, No. 5. As for the formation energy from raw total energies: -0.169 eV per atom.

---

(2)
Here is a relaxed structure of CaCo from Alexandria via LeMat-Bulk. Energies are from PBE.

Unit cell a=8.1631 b=7.4827 c=5.1162 alpha=78.30 beta=63.84 gamma=37.86
Closest atoms and distances in Å follow each position.
Fractional coordinates of all 8 atoms:
Ca  0.0470  0.7030  0.0470  4 Co 2.83-3.02, 3 Ca 2.95-3.09
Ca  0.2970  0.9530  0.2970  4 Co 2.83-3.02, 3 Ca 2.95-3.09
Ca  0.7030  0.0470  0.7030  4 Co 2.83-3.02, 3 Ca 2.95-3.09
Ca  0.9530  0.2970  0.9530  4 Co 2.83-3.02, 3 Ca 2.95-3.09
Co  0.2955  0.2955  0.4545  1 Co 2.21
Co  0.4545  0.4545  0.2955  1 Co 2.21
Co  0.5455  0.5455  0.7045  1 Co 2.21
Co  0.7045  0.7045  0.5455  1 Co 2.21

## Properties
Its density of states at the Fermi level is 0.777 states/eV/atom. For the magnetic moment, the calculation gives 1.2 μB per formula unit. The formation enthalpy at 0 K comes out at 0.372 eV per atom. Its energy is -0.1537 Ha/atom. The space group is Fddd, No. 70.

---

(3)
Here is a relaxed structure of Ca3TbAl8 from Alexandria via LeMat-Bulk. Energies are from PBE.

Unit cell a=9.7978 b=9.7978 c=9.7978 alpha=33.36 beta=33.36 gamma=33.36
Closest atoms and distances in Å follow each position.
Fractional coordinates of all 12 atoms:
Ca  0.0000  0.0000  0.0000  12 Al 3.29-3.30, 3 Tb 3.44, 1 Ca 3.47
Ca  0.1252  0.1252  0.1252  12 Al 3.30-3.34, 4 Ca 3.44-3.47
Ca  0.4999  0.4999  0.4999  12 Al 3.30-3.33, 3 Ca 3.44, 1 Tb 3.48
Tb  0.6254  0.6254  0.6254  12 Al 3.28-3.30, 4 Ca 3.44-3.48
Al  0.0598  0.5627  0.5627  6 Al 2.80-2.84
Al  0.0631  0.0631  0.5644  6 Al 2.80-2.84
Al  0.0631  0.5644  0.0631  6 Al 2.80-2.84
Al  0.3124  0.3124  0.3124  6 Al 2.80-2.82
Al  0.5627  0.0598  0.5627  6 Al 2.80-2.84
Al  0.5627  0.5627  0.0598  6 Al 2.80-2.84
Al  0.5644  0.0631  0.0631  6 Al 2.80-2.84
Al  0.8126  0.8126  0.8126  6 Al 2.84

## Properties
Its density of states at the Fermi level is 0.421 states/eV/atom. For the magnetic moment, the calculation gives 0.0 μB per formula unit. The formation enthalpy at 0 K comes out at -0.374 eV per atom. Its energy is -0.1380 Ha/atom. The value obtained for the energy above the most stable polymorph in this dataset is 0 meV/atom. The space group is R3m, No. 160.

---

(4)
Here is a relaxed structure of MnCd2Se from Alexandria via LeMat-Bulk. Energies are from PBE.

Unit cell a=3.5717 b=3.5717 c=6.8299 alpha=90.00 beta=90.00 gamma=90.00
Closest atoms and distances in Å follow each position.
Fractional coordinates of all 4 atoms:
Mn  0.0000  0.0000  0.0000  4 Se 2.57
Cd  0.0000  0.0000  0.4251  1 Mn 2.90, 4 Cd 2.99
Cd  0.5000  0.5000  0.6606  1 Se 2.78, 4 Cd 2.99
Se  0.5000  0.5000  0.0671  4 Mn 2.57, 1 Cd 2.78

## Properties
Its density of states at the Fermi level is 0.355 states/eV/atom. For the magnetic moment, the calculation gives 3.7 μB per formula unit. Its energy is -0.1332 Ha/atom. The space group is P4mm, No. 99. As for the formation energy from raw total energies: -0.003 eV per atom.